No. 1
## LaMg5In7 (PBE)

Data for a relaxed LaMg5In7 crystal.

Geometry as POSCAR:
```
LaMg5In7
1.0
2.1181 5.6388 1.8589
0.9485 0.6128 7.7491
7.8104 0.5592 0.0926
In La Mg
7 1 5
direct
0.2720 0.2280 0.2280 In
0.3440 0.6560 0.6560 In
0.9958 0.3470 0.6614 In
0.6497 0.3503 0.3503 In
0.5053 0.1872 0.8022 In
0.9958 0.6614 0.3470 In
0.5053 0.8022 0.1872 In
0.9977 0.0023 0.0023 La
0.0019 0.0018 0.4976 Mg
0.4987 0.4976 0.0018 Mg
0.0019 0.4976 0.0018 Mg
0.7332 0.7668 0.7668 Mg
0.4987 0.0018 0.4976 Mg
```

Calculated values
The calculation puts the total DFT energy (no corrections) at -0.0969 Ha/atom. Its energy relative to the elements is -169 meV/atom. The space group is No. 44. The calculation puts the density of states at the Fermi level at 4.58 states/eV/cell.

No. 2
## LaMg2In4 (PBE)

Data for a relaxed LaMg2In4 crystal.

Geometry as POSCAR:
```
LaMg2In4
1.0
5.9515 0.0000 0.0000
0.0000 5.9515 0.0000
2.9758 2.9758 7.5923
In La Mg
4 1 2
direct
0.5000 0.0000 0.0000 In
0.2113 0.2113 0.5775 In
0.0000 0.5000 0.0000 In
0.7887 0.7887 0.4225 In
0.0000 0.0000 0.0000 La
0.4019 0.4019 0.1962 Mg
0.5981 0.5981 0.8038 Mg
```

Calculated values
The calculation puts the total DFT energy (no corrections) at -0.0851 Ha/atom. Its energy relative to the elements is 410 meV/atom. The space group is No. 139. The calculation puts the density of states at the Fermi level at 6.17 states/eV/cell.

No. 3
## La3Mg2In (PBE)

Data for a relaxed La3Mg2In crystal.

Geometry as POSCAR:
```
La3Mg2In
1.0
-3.0841 2.2348 1.1456
-0.9871 -3.5198 4.2089
5.5790 6.2441 2.8382
Mg La In
2 3 1
direct
0.0000 0.3296 0.6591 Mg
0.0000 0.6704 0.3409 Mg
0.5000 0.1648 0.3296 La
0.5000 0.8352 0.6704 La
0.5000 0.5000 0.0000 La
0.0000 0.0000 0.0000 In
```

Calculated values
The calculation puts the total DFT energy (no corrections) at -0.1363 Ha/atom. The excess energy over the best structure of this formula in the dataset comes out at 0 kJ/mol of formula units. Its energy relative to the elements is -258 meV/atom. The space group is No. 65. The calculation puts the density of states at the Fermi level at 7.28 states/eV/cell.